Record 1
CaYI2N | PBE | relaxed

Cell: 6.2024 6.2024 4.1990 Å, 90.00 90.00 90.00°
Each line ends with the local moment (μB).
Sites, in units of the cell vectors:
1 N 0.0000 0.0000 0.5000  0.17
2 I 0.0000 0.5000 0.0000  0.00
3 I 0.5000 0.0000 0.0000  0.00
4 Y 0.0000 0.0000 0.0000  0.06
5 Ca 0.5000 0.5000 0.5000  0.05

Properties
Total energy (eV per atom): -4.6062
Raw formation energy (eV per formula unit): -3.140

Record 2
CsIn2Sn2 | PBE | relaxed

Cell: 5.2457 5.2457 7.1924 Å, 68.61 68.61 90.00°
Sites, in units of the cell vectors:
1 In 0.3793 0.3793 0.2414
2 In 0.6207 0.6207 0.7586
3 Cs 0.0000 0.0000 0.0000
4 Sn 0.2500 0.7500 0.5000
5 Sn 0.7500 0.2500 0.5000

Properties
Total energy (eV per atom): -3.0269
Calculated formation energy (eV per atom): -0.160

Record 3
SmTh2VN4 | PBE | relaxed

Cell: 3.4843 6.2068 12.2691 Å, 90.00 90.00 106.30°
Sites, in units of the cell vectors:
1 N 0.7264 0.4529 0.6316
2 N 0.0000 0.0000 0.5000
3 N 0.4286 0.8572 0.7500
4 N 0.7264 0.4529 0.8684
5 N 0.2736 0.5471 0.3684
6 N 0.5714 0.1428 0.2500
7 N 0.2736 0.5471 0.1316
8 N 0.0000 0.0000 0.0000
9 Sm 0.0877 0.1754 0.7500
10 Sm 0.9123 0.8246 0.2500
11 Th 0.6332 0.2665 0.0493
12 Th 0.3668 0.7335 0.5493
13 Th 0.6332 0.2665 0.4507
14 Th 0.3668 0.7335 0.9507
15 V 0.1763 0.3525 0.2500
16 V 0.8237 0.6475 0.7500

Properties
Total energy (eV per atom): -8.9519
Raw formation energy (eV per formula unit): -9.636

Record 4
TaHg2Cl | PBE | relaxed

Cell: 3.1699 3.1699 9.0250 Å, 90.00 90.00 111.87°
Sites, in units of the cell vectors:
1 Cl 0.5000 0.5000 0.7500
2 Hg 0.0000 0.0000 0.4993
3 Hg 0.0000 0.0000 0.0007
4 Ta 0.5000 0.5000 0.2500

Properties
Total energy (eV per atom): -3.3210
Raw formation energy (eV per formula unit): 1.019

Record 5
NaMnAs2Ru | PBE | relaxed

Cell: 3.9381 3.9381 6.7586 Å, 106.94 106.94 90.00°
Each line ends with the local moment (μB).
Sites, in units of the cell vectors:
1 As 0.6318 0.6318 0.2635  -0.07
2 As 0.3682 0.3682 0.7365  -0.07
3 Mn 0.7500 0.2500 0.5000  2.81
4 Ru 0.2500 0.7500 0.5000  -0.04
5 Na 0.0000 0.0000 0.0000  0.00

Properties
Total energy (eV per atom): -6.1368
Calculated formation energy (eV per atom): -0.324

Record 6
Dy4Ho3Zr | PBE | relaxed

Cell: 6.1499 7.1337 11.0857 Å, 90.00 90.00 90.00°
Sites, in units of the cell vectors:
1 Ho 0.4753 0.3797 0.2517
2 Ho 0.4753 0.3797 0.7483
3 Ho 0.1476 0.3834 0.5000
4 Ho 0.6476 0.6166 0.0000
5 Ho 0.9753 0.6203 0.7517
6 Ho 0.9753 0.6203 0.2483
7 Dy 0.9873 0.1300 0.2440
8 Dy 0.4873 0.8700 0.7440
9 Dy 0.6441 0.1324 0.0000
10 Dy 0.1441 0.8676 0.5000
11 Dy 0.4873 0.8700 0.2560
12 Dy 0.1477 0.8720 0.0000
13 Dy 0.6477 0.1280 0.5000
14 Dy 0.9873 0.1300 0.7560
15 Zr 0.1506 0.3767 0.0000
16 Zr 0.6506 0.6233 0.5000

Properties
Total energy (eV per atom): -5.0420
Calculated formation energy (eV per atom): 0.044